Below is Li2NpMnTe4 after structural relaxation, with properties calculated at the PBE-GGA level.

Computed properties:
- E_form (uncorrected) (eV per atom) = -0.619
- Fermi-level density of states (states/eV per cell) = 10.7
- size of the total moment (μB per formula unit) = 8.00
- ρ (g/cm³) = 6.310

a b c (Å): 4.241 7.305 7.332
angles (deg): 109.01 90.00 90.00
Fractional coordinates of all 8 atoms:
Te 0.000 0.728 0.238
Np 0.000 0.000 0.000
Te 0.500 0.263 0.255
Te 0.000 0.272 0.762
Te 0.500 0.737 0.745
Li 0.000 0.500 0.500
Mn 0.500 0.500 0.000
Li 0.500 0.000 0.500